# 1
This record from Alexandria describes crystalline NaThHgAu at its relaxed geometry. The functional is PBE-GGA.

The structure in POSCAR format:
```
NaThHgAu
1.0
-4.760 -1.471 1.435
-0.759 -2.132 4.665
-2.531 2.639 3.676
Na Au Hg Th
1 1 1 1
Direct
0.750 0.750 0.750
0.000 0.000 0.000
0.500 0.500 0.500
0.250 0.250 0.250
```

Calculated values
SG   F-43m (216)

# 2
This record from Alexandria describes crystalline RbCr6Se8 at its relaxed geometry. The functional is PBE-GGA.

The structure in POSCAR format:
```
RbCr6Se8
1.0
7.047 0.128 -0.096
-0.099 7.047 -0.096
0.124 0.128 7.047
Rb Cr Se
1 6 8
Direct
0.000 0.000 0.000
0.598 0.429 0.798
0.429 0.798 0.598
0.798 0.598 0.429
0.402 0.571 0.202
0.571 0.202 0.402
0.202 0.402 0.571
0.739 0.739 0.739
0.261 0.261 0.261
0.602 0.863 0.282
0.863 0.282 0.602
0.282 0.602 0.863
0.398 0.137 0.718
0.137 0.718 0.398
0.718 0.398 0.137
```

Calculated values
SG   R-3 (148)

# 3
This record from Alexandria describes crystalline HgIrPb at its relaxed geometry. The functional is PBE-GGA.

The structure in POSCAR format:
```
HgIrPb
1.0
4.647 0.000 0.000
2.324 4.024 0.000
2.324 1.341 3.794
Hg Ir Pb
1 1 1
Direct
0.500 0.500 0.500
0.750 0.750 0.750
0.000 0.000 0.000
```

Calculated values
SG   F-43m (216)

| no. | magnetic moment (μB per formula unit) | energy (eV per atom) | theoretical density (g/cm3) |
| --- | --- | --- | --- |
| 1 | 0.00 | -3.403 | 10.995 |
| 2 | 19.00 | -6.286 | 4.880 |
| 3 | 0.00 | -3.992 | 14.041 |